## Ac2Ni2N7 (PBE-GGA)

Data for Ac2Ni2N7 after structural relaxation.

a = 6.3356 Å, b = 6.3356 Å, c = 3.8412 Å
α = 93.97°, β = 93.97°, γ = 102.81°
Atoms (fractional coordinates):
Ac: 0.1979 0.8021 0.0000
Ac: 0.8021 0.1979 0.0000
Ni: 0.2452 0.2452 0.6091
Ni: 0.7548 0.7548 0.3909
N: 0.0000 0.0000 0.5000
N: 0.0919 0.4932 0.4431
N: 0.4407 0.4407 0.8935
N: 0.4932 0.0919 0.4431
N: 0.5068 0.9081 0.5569
N: 0.5593 0.5593 0.1065
N: 0.9081 0.5068 0.5569

Values from the calculation:
Symmetry: C2/m, No. 12
Volume, Å³ per atom: 13.58
Uncorrected formation energy, eV/atom: -0.244
Total DFT energy (no corrections), Ry per atom: -0.5395

=====

## Ac6Ni2N (PBE-GGA)

Data for Ac6Ni2N after structural relaxation.

a = 6.8827 Å, b = 7.5754 Å, c = 12.6732 Å
α = 90.00°, β = 122.68°, γ = 90.00°
Atoms (fractional coordinates):
Ac: 0.0933 0.0407 0.2373
Ac: 0.0933 0.4593 0.7373
Ac: 0.2367 0.6880 0.0679
Ac: 0.2367 0.8120 0.5679
Ac: 0.3825 0.1709 0.0688
Ac: 0.3825 0.3291 0.5688
Ac: 0.6175 0.6709 0.4312
Ac: 0.6175 0.8291 0.9312
Ac: 0.7633 0.1880 0.4321
Ac: 0.7633 0.3120 0.9321
Ac: 0.9067 0.5407 0.2627
Ac: 0.9067 0.9593 0.7627
Ni: 0.3138 0.1119 0.7531
Ni: 0.3138 0.3881 0.2531
Ni: 0.6862 0.6119 0.7469
Ni: 0.6862 0.8881 0.2469
N: 0.0000 0.0000 0.0000
N: 0.0000 0.5000 0.5000

Values from the calculation:
Symmetry: P2_1/c, No. 14
Volume, Å³ per atom: 30.90
Uncorrected formation energy, eV/atom: -0.359
Total DFT energy (no corrections), Ry per atom: -0.3901

=====

## Ac12Ni3N5 (PBE-GGA)

Data for Ac12Ni3N5 after structural relaxation.

a = 14.4526 Å, b = 14.4526 Å, c = 14.4526 Å
α = 109.47°, β = 109.47°, γ = 109.47°
Atoms (fractional coordinates):
Ac: 0.0229 0.2053 0.1192
Ac: 0.0229 0.3176 0.9037
Ac: 0.0861 0.7053 0.6824
Ac: 0.0861 0.8808 0.4037
Ac: 0.0963 0.6192 0.4139
Ac: 0.0963 0.9771 0.6824
Ac: 0.1192 0.0229 0.2053
Ac: 0.1192 0.5963 0.9139
Ac: 0.1824 0.2053 0.5861
Ac: 0.1824 0.4771 0.5963
Ac: 0.2053 0.1192 0.0229
Ac: 0.2053 0.5861 0.1824
Ac: 0.2947 0.3176 0.9139
Ac: 0.2947 0.4771 0.3808
Ac: 0.3176 0.9037 0.0229
Ac: 0.3176 0.9139 0.2947
Ac: 0.3808 0.2947 0.4771
Ac: 0.3808 0.5861 0.9037
Ac: 0.4037 0.0861 0.8808
Ac: 0.4037 0.8176 0.5229
Ac: 0.4139 0.0963 0.6192
Ac: 0.4139 0.8176 0.7947
Ac: 0.4771 0.3808 0.2947
Ac: 0.4771 0.5963 0.1824
Ac: 0.5229 0.4037 0.8176
Ac: 0.5229 0.6192 0.7053
Ac: 0.5861 0.1824 0.2053
Ac: 0.5861 0.9037 0.3808
Ac: 0.5963 0.1824 0.4771
Ac: 0.5963 0.9139 0.1192
Ac: 0.6192 0.4139 0.0963
Ac: 0.6192 0.7053 0.5229
Ac: 0.6824 0.0861 0.7053
Ac: 0.6824 0.0963 0.9771
Ac: 0.7053 0.5229 0.6192
Ac: 0.7053 0.6824 0.0861
Ac: 0.7947 0.4139 0.8176
Ac: 0.7947 0.8808 0.9771
Ac: 0.8176 0.5229 0.4037
Ac: 0.8176 0.7947 0.4139
Ac: 0.8808 0.4037 0.0861
Ac: 0.8808 0.9771 0.7947
Ac: 0.9037 0.0229 0.3176
Ac: 0.9037 0.3808 0.5861
Ac: 0.9139 0.1192 0.5963
Ac: 0.9139 0.2947 0.3176
Ac: 0.9771 0.6824 0.0963
Ac: 0.9771 0.7947 0.8808
Ni: 0.1250 0.2500 0.3750
Ni: 0.1250 0.3750 0.7500
Ni: 0.2500 0.3750 0.1250
Ni: 0.2500 0.8750 0.6250
Ni: 0.3750 0.1250 0.2500
Ni: 0.3750 0.7500 0.1250
Ni: 0.6250 0.2500 0.8750
Ni: 0.6250 0.8750 0.7500
Ni: 0.7500 0.1250 0.3750
Ni: 0.7500 0.6250 0.8750
Ni: 0.8750 0.6250 0.2500
Ni: 0.8750 0.7500 0.6250
N: 0.0000 0.0000 0.0000
N: 0.0000 0.0000 0.5000
N: 0.0000 0.5000 0.0000
N: 0.0000 0.5000 0.5000
N: 0.1250 0.7500 0.8750
N: 0.1250 0.8750 0.2500
N: 0.2500 0.1250 0.8750
N: 0.2500 0.6250 0.3750
N: 0.3750 0.2500 0.6250
N: 0.3750 0.6250 0.7500
N: 0.5000 0.0000 0.0000
N: 0.5000 0.0000 0.5000
N: 0.5000 0.5000 0.0000
N: 0.5000 0.5000 0.5000
N: 0.6250 0.3750 0.2500
N: 0.6250 0.7500 0.3750
N: 0.7500 0.3750 0.6250
N: 0.7500 0.8750 0.1250
N: 0.8750 0.1250 0.7500
N: 0.8750 0.2500 0.1250

Values from the calculation:
Symmetry: Ia-3d, No. 230
Volume, Å³ per atom: 29.05
Uncorrected formation energy, eV/atom: -0.505
Total DFT energy (no corrections), Ry per atom: -0.4350

=====

## AcNi2PN (PBE-GGA)

Data for AcNi2PN after structural relaxation.

a = 5.9692 Å, b = 5.9692 Å, c = 6.9177 Å
α = 90.00°, β = 90.00°, γ = 143.34°
Atoms (fractional coordinates):
Ac: 0.0440 0.9560 0.7500
Ac: 0.9560 0.0440 0.2500
Ni: 0.3232 0.6768 0.5580
Ni: 0.3232 0.6768 0.9420
Ni: 0.6768 0.3232 0.0580
Ni: 0.6768 0.3232 0.4420
P: 0.2290 0.7710 0.2500
P: 0.7710 0.2290 0.7500
N: 0.5000 0.5000 0.0000
N: 0.5000 0.5000 0.5000

Values from the calculation:
Symmetry: Cmcm, No. 63
Volume, Å³ per atom: 14.72
Uncorrected formation energy, eV/atom: -0.709
Total DFT energy (no corrections), Ry per atom: -0.4844

=====

## Ac3NiP2N6 (PBE-GGA)

Data for Ac3NiP2N6 after structural relaxation.

a = 5.6628 Å, b = 5.6628 Å, c = 6.6468 Å
α = 90.00°, β = 90.00°, γ = 120.00°
Atoms (fractional coordinates):
Ac: 0.0000 0.0000 0.0000
Ac: 0.3333 0.6667 0.6578
Ac: 0.6667 0.3333 0.3422
Ni: 0.0000 0.0000 0.5000
P: 0.3333 0.6667 0.2125
P: 0.6667 0.3333 0.7875
N: 0.1737 0.3473 0.2970
N: 0.1737 0.8263 0.2970
N: 0.3473 0.1737 0.7030
N: 0.6527 0.8263 0.2970
N: 0.8263 0.1737 0.7030
N: 0.8263 0.6527 0.7030

Values from the calculation:
Symmetry: P-3m1, No. 164
Volume, Å³ per atom: 15.38
Uncorrected formation energy, eV/atom: -0.778
Total DFT energy (no corrections), Ry per atom: -0.5403

=====

## Ac2NiPN (PBE-GGA)

Data for Ac2NiPN after structural relaxation.

a = 6.5927 Å, b = 4.0525 Å, c = 8.4527 Å
α = 90.00°, β = 107.51°, γ = 90.00°
Atoms (fractional coordinates):
Ac: 0.2132 0.2500 0.3919
Ac: 0.2292 0.2500 0.9645
Ac: 0.7708 0.7500 0.0355
Ac: 0.7868 0.7500 0.6081
Ni: 0.4724 0.7500 0.2493
Ni: 0.5276 0.2500 0.7507
P: 0.3325 0.7500 0.6983
P: 0.6675 0.2500 0.3017
N: 0.1620 0.7500 0.1685
N: 0.8380 0.2500 0.8315

Values from the calculation:
Symmetry: P2_1/m, No. 11
Volume, Å³ per atom: 21.54
Uncorrected formation energy, eV/atom: -1.033
Total DFT energy (no corrections), Ry per atom: -0.4836

=====

## AcPa2NiN5 (PBE-GGA)

Data for AcPa2NiN5 after structural relaxation.

a = 7.3835 Å, b = 7.3835 Å, c = 7.3835 Å
α = 126.82°, β = 126.82°, γ = 78.55°
Atoms (fractional coordinates):
Ac: 0.2500 0.2500 0.0000
Ac: 0.7500 0.7500 0.0000
Pa: 0.1751 0.6751 0.8502
Pa: 0.3249 0.1751 0.5000
Pa: 0.6751 0.8249 0.5000
Pa: 0.8249 0.3249 0.1498
Ni: 0.2500 0.7500 0.5000
Ni: 0.7500 0.2500 0.5000
N: 0.0000 0.0000 0.0000
N: 0.0182 0.2253 0.5000
N: 0.2253 0.7253 0.2072
N: 0.2747 0.4818 0.5000
N: 0.4818 0.9818 0.2072
N: 0.5000 0.5000 0.0000
N: 0.5182 0.0182 0.7928
N: 0.7253 0.5182 0.5000
N: 0.7747 0.2747 0.7928
N: 0.9818 0.7747 0.5000

Values from the calculation:
Symmetry: I4/mcm, No. 140
Volume, Å³ per atom: 13.87
Uncorrected formation energy, eV/atom: -1.193
Total DFT energy (no corrections), Ry per atom: -0.6635

=====

## Ac5NiPd2N (PBE-GGA)

Data for Ac5NiPd2N after structural relaxation.

a = 9.6218 Å, b = 9.6218 Å, c = 13.3904 Å
α = 90.00°, β = 90.00°, γ = 154.41°
Atoms (fractional coordinates):
Ac: 0.0044 0.9956 0.5000
Ac: 0.1462 0.8538 0.7422
Ac: 0.1822 0.8178 0.1075
Ac: 0.2086 0.7914 0.4084
Ac: 0.4626 0.5374 0.7444
Ac: 0.5374 0.4626 0.2444
Ac: 0.7914 0.2086 0.9084
Ac: 0.8178 0.1822 0.6075
Ac: 0.8538 0.1462 0.2422
Ac: 0.9956 0.0044 0.0000
Ni: 0.2997 0.7003 0.7605
Ni: 0.7003 0.2997 0.2605
Pd: 0.3712 0.6288 0.0601
Pd: 0.3854 0.6146 0.4138
Pd: 0.6146 0.3854 0.9138
Pd: 0.6288 0.3712 0.5601
N: 0.0524 0.9476 0.1567
N: 0.9476 0.0524 0.6567

Values from the calculation:
Symmetry: Cmc2_1, No. 36
Volume, Å³ per atom: 29.75
Uncorrected formation energy, eV/atom: -0.633
Total DFT energy (no corrections), Ry per atom: -0.4143

=====

## Ac5NiPt2N (PBE-GGA)

Data for Ac5NiPt2N after structural relaxation.

a = 9.5283 Å, b = 9.5283 Å, c = 13.2091 Å
α = 90.00°, β = 90.00°, γ = 154.18°
Atoms (fractional coordinates):
Ac: 0.0058 0.9942 0.5000
Ac: 0.1467 0.8533 0.7418
Ac: 0.1800 0.8200 0.1040
Ac: 0.2086 0.7914 0.4115
Ac: 0.4650 0.5350 0.7477
Ac: 0.5350 0.4650 0.2477
Ac: 0.7914 0.2086 0.9115
Ac: 0.8200 0.1800 0.6040
Ac: 0.8533 0.1467 0.2418
Ac: 0.9942 0.0058 0.0000
Ni: 0.3019 0.6981 0.7604
Ni: 0.6981 0.3019 0.2604
Pt: 0.3679 0.6321 0.0605
Pt: 0.3851 0.6149 0.4164
Pt: 0.6149 0.3851 0.9164
Pt: 0.6321 0.3679 0.5605
N: 0.0494 0.9506 0.1602
N: 0.9506 0.0494 0.6602

Values from the calculation:
Symmetry: Cmc2_1, No. 36
Volume, Å³ per atom: 29.02
Uncorrected formation energy, eV/atom: -0.793
Total DFT energy (no corrections), Ry per atom: -0.4399